Compound: Tm4Mn
Source: the Alexandria database
Functional: PBE
Structure: optimized geometry

As for the volume: 28.2 A^3/atom. The formation energy is 0.2300 eV per atom. As for the symmetry: No. 221. For the total magnetic moment, the calculation gives 0.56 μB/f.u. The density of states at the Fermi level is 7.39 states/eV/f.u.

```
Tm4Mn
1.0
5.2057 0.0000 0.0000
0.0000 5.2057 0.0000
0.0000 0.0000 5.2057
Tm Mn
4 1
Direct
0.0000 0.0000 0.0000 Tm
0.0000 0.5000 0.5000 Tm
0.5000 0.0000 0.5000 Tm
0.5000 0.5000 0.0000 Tm
0.5000 0.5000 0.5000 Mn
```